The following is a PBE calculation of a relaxed structure of Ti4SbC, from Alexandria.

a b c (Å): 5.0931 6.0776 6.9134
angles (deg): 104.38 111.62 89.99
With the nearest neighbours (Å) after each atom.
Fractional positions:
1 Ti 0.4883 0.0512 0.8022  1 C 2.06
2 Ti 0.6862 0.4488 0.1977  1 C 2.06
3 Ti 0.5117 0.9488 0.1978  1 C 2.06
4 Ti 0.3138 0.5512 0.8023  1 C 2.06
5 Ti 0.8762 0.8323 0.6080  2 C 2.14-2.15
6 Ti 0.2682 0.6677 0.3921  2 C 2.14-2.15
7 Ti 0.1238 0.1677 0.3920  2 C 2.14-2.15
8 Ti 0.7318 0.3323 0.6079  2 C 2.14-2.15
9 Sb 0.8862 0.7500 0.0000  10 Ti 2.84-3.07
10 Sb 0.1138 0.2500 0.0000  10 Ti 2.84-3.07
11 C 0.5000 0.0000 0.5000  6 Ti 2.06-2.15
12 C 0.0000 0.5000 0.5000  6 Ti 2.06-2.15

Computed properties:
DFT total energy (Ry/atom): -0.586

The following is a PBE calculation of a relaxed structure of Ti3SbC, from Alexandria.

a b c (Å): 5.0599 5.0599 5.0599
angles (deg): 90.00 90.00 90.00
With the nearest neighbours (Å) after each atom.
Fractional positions:
1 Sb 0.0000 0.0000 0.0000  6 Ti 2.53
2 C 0.5000 0.5000 0.5000  12 Ti 3.58
3 Ti 0.0000 0.5000 0.0000  2 Sb 2.53
4 Ti 0.0000 0.0000 0.5000  2 Sb 2.53
5 Ti 0.5000 0.0000 0.0000  2 Sb 2.53

Computed properties:
DFT total energy (Ry/atom): -0.393

The following is a PBE calculation of a relaxed structure of TiSbC2, from Alexandria.

a b c (Å): 5.0045 5.0045 5.9915
angles (deg): 65.31 65.31 90.00
With the nearest neighbours (Å) after each atom.
Fractional positions:
1 Sb 0.0000 0.0000 0.0000  4 C 2.21
2 Sb 0.7500 0.2500 0.5000  4 C 2.21
3 C 0.6039 0.1250 0.2500  2 Ti 2.08, 2 Sb 2.21
4 C 0.1461 0.6250 0.2500  2 Ti 2.08, 2 Sb 2.21
5 C 0.3750 0.3961 0.7500  2 Ti 2.08, 2 Sb 2.21
6 C 0.8750 0.8539 0.7500  2 Ti 2.08, 2 Sb 2.21
7 Ti 0.5000 0.5000 0.0000  4 C 2.08
8 Ti 0.2500 0.7500 0.5000  4 C 2.08

Computed properties:
DFT total energy (Ry/atom): -0.514

The following is a PBE calculation of a relaxed structure of Ti2Sb2C, from Alexandria.

a b c (Å): 5.4103 5.4103 5.3063
angles (deg): 59.35 59.35 90.00
With the nearest neighbours (Å) after each atom.
Fractional positions:
1 Sb 0.2944 0.2944 0.4111  1 C 2.17
2 Sb 0.7056 0.7056 0.5889  1 C 2.17
3 C 0.0000 0.0000 0.0000  2 Sb 2.17
4 Ti 0.7500 0.2500 0.5000  4 Sb 2.72
5 Ti 0.2500 0.7500 0.5000  4 Sb 2.72

Computed properties:
Polymorph energy (0 for the lowest one) (meV/atom): 199

The following is a PBE calculation of a relaxed structure of Ti3SbC, from Alexandria.

a b c (Å): 4.2517 4.2517 4.2517
angles (deg): 90.00 90.00 90.00
With the nearest neighbours (Å) after each atom.
Fractional positions:
1 Sb 0.5000 0.5000 0.5000  12 Ti 3.01
2 C 0.0000 0.0000 0.0000  6 Ti 2.13
3 Ti 0.0000 0.5000 0.0000  2 C 2.13
4 Ti 0.0000 0.0000 0.5000  2 C 2.13
5 Ti 0.5000 0.0000 0.0000  2 C 2.13

Computed properties:
DFT total energy (Ry/atom): -0.583

The following is a PBE calculation of a relaxed structure of TiSbC3, from Alexandria.

a b c (Å): 4.1038 4.1038 4.1038
angles (deg): 90.00 90.00 90.00
With the nearest neighbours (Å) after each atom.
Fractional positions:
1 Sb 0.5000 0.5000 0.5000  12 C 2.90
2 C 0.0000 0.5000 0.0000  2 Ti 2.05
3 C 0.0000 0.0000 0.5000  2 Ti 2.05
4 C 0.5000 0.0000 0.0000  2 Ti 2.05
5 Ti 0.0000 0.0000 0.0000  6 C 2.05

Computed properties:
Polymorph energy (0 for the lowest one) (meV/atom): 0

The following is a PBE calculation of a relaxed structure of Ti3SbC, from Alexandria.

a b c (Å): 4.1604 5.4473 8.4086
angles (deg): 114.26 90.00 112.45
With the nearest neighbours (Å) after each atom.
Fractional positions:
1 Ti 0.1161 0.2322 0.1789  2 C 2.10-2.13
2 Ti 0.8839 0.7678 0.8211  2 C 2.10-2.13
3 Ti 0.6452 0.2903 0.9439  3 C 2.09-2.13
4 Ti 0.3548 0.7097 0.0561  3 C 2.09-2.13
5 Ti 0.8711 0.7422 0.3206  1 C 2.16
6 Ti 0.1289 0.2578 0.6794  1 C 2.16
7 Sb 0.3936 0.7871 0.5879  8 Ti 2.89-3.08, 1 Sb 3.10
8 Sb 0.6064 0.2129 0.4121  8 Ti 2.89-3.08, 1 Sb 3.10
9 C 0.1191 0.2383 0.9305  6 Ti 2.09-2.16
10 C 0.8809 0.7617 0.0695  6 Ti 2.09-2.16

Computed properties:
DFT total energy (Ry/atom): -0.586

The following is a PBE calculation of a relaxed structure of Ti6SbC, from Alexandria.

a b c (Å): 5.1958 5.1955 5.1957
angles (deg): 78.87 101.13 78.87
With the nearest neighbours (Å) after each atom.
Fractional positions:
1 Ti 0.0991 0.3188 0.7557  1 C 2.09
2 Ti 0.7558 0.9009 0.6812  1 C 2.09
3 Ti 0.6812 0.2442 0.0990  1 C 2.09
4 Ti 0.2442 0.0991 0.3188  1 C 2.09
5 Ti 0.9009 0.6812 0.2443  1 C 2.09
6 Ti 0.3188 0.7558 0.9010  1 C 2.09
7 Sb 0.5000 0.5000 0.5000  12 Ti 2.89-3.02
8 C 0.0000 0.0000 0.0000  6 Ti 2.09

Computed properties:
DFT total energy (Ry/atom): -0.587

The following is a PBE calculation of a relaxed structure of Ti8Sb2C3, from Alexandria.

a b c (Å): 5.5270 6.1964 7.3778
angles (deg): 114.83 103.48 90.00
With the nearest neighbours (Å) after each atom.
Fractional positions:
1 Ti 0.9265 0.5900 0.1801  2 C 2.10
2 Ti 0.0735 0.4100 0.8199  2 C 2.10
3 Ti 0.8853 0.0848 0.1695  3 C 2.08-2.14
4 Ti 0.1147 0.9152 0.8305  3 C 2.08-2.14
5 Ti 0.6179 0.6657 0.8370  2 C 2.11
6 Ti 0.6179 0.1713 0.8370  2 C 2.11
7 Ti 0.3821 0.8287 0.1630  2 C 2.11
8 Ti 0.3821 0.3343 0.1630  2 C 2.11
9 Sb 0.3171 0.2515 0.5029  6 Ti 2.79-2.86
10 Sb 0.6829 0.7485 0.4971  6 Ti 2.79-2.86
11 C 0.5000 0.0000 0.0000  6 Ti 2.11-2.14
12 C 0.0000 0.2436 0.0000  6 Ti 2.08-2.11
13 C 0.0000 0.7564 0.0000  6 Ti 2.08-2.11

Computed properties:
DFT total energy (Ry/atom): -0.594

The following is a PBE calculation of a relaxed structure of TiSbC, from Alexandria.

a b c (Å): 3.9952 3.6890 7.7998
angles (deg): 103.68 104.84 90.00
With the nearest neighbours (Å) after each atom.
Fractional positions:
1 Sb 0.6843 0.1843 0.3685  5 Ti 2.94-3.04
2 Sb 0.3157 0.8157 0.6315  5 Ti 2.94-3.04
3 C 0.6624 0.5000 0.0000  1 C 1.30
4 C 0.3376 0.5000 0.0000  1 C 1.30
5 Ti 0.1075 0.6075 0.2150  2 C 2.07
6 Ti 0.8925 0.3925 0.7850  2 C 2.07

Computed properties:
DFT total energy (Ry/atom): -0.508

The following is a PBE calculation of a relaxed structure of Ti2Sb2C, from Alexandria.

a b c (Å): 7.0258 7.0258 3.8622
angles (deg): 90.00 90.00 90.00
With the nearest neighbours (Å) after each atom.
Fractional positions:
1 Sb 0.3342 0.8342 0.0000  2 C 2.62, 6 Ti 2.76-2.87
2 Sb 0.8342 0.6658 0.0000  2 C 2.62, 6 Ti 2.76-2.87
3 Sb 0.6658 0.1658 0.0000  2 C 2.62, 6 Ti 2.76-2.87
4 Sb 0.1658 0.3342 0.0000  2 C 2.62, 6 Ti 2.76-2.87
5 C 0.0000 0.0000 0.0000  4 Sb 2.62
6 C 0.5000 0.5000 0.0000  4 Sb 2.62
7 Ti 0.1355 0.6355 0.5000  1 Ti 2.69, 6 Sb 2.76-2.87
8 Ti 0.6355 0.8645 0.5000  1 Ti 2.69, 6 Sb 2.76-2.87
9 Ti 0.8645 0.3645 0.5000  1 Ti 2.69, 6 Sb 2.76-2.87
10 Ti 0.3645 0.1355 0.5000  1 Ti 2.69, 6 Sb 2.76-2.87

Computed properties:
Polymorph energy (0 for the lowest one) (meV/atom): 0

The following is a PBE calculation of a relaxed structure of Ti8SbC2, from Alexandria.

a b c (Å): 4.3609 6.4328 6.4328
angles (deg): 113.75 95.91 95.91
With the nearest neighbours (Å) after each atom.
Fractional positions:
1 Ti 0.9388 0.9236 0.6580  2 C 2.21-2.37
2 Ti 0.9388 0.6580 0.9236  2 C 2.21-2.37
3 Ti 0.2948 0.5831 0.5831  1 Ti 2.31, 2 C 2.45
4 Ti 0.5000 0.7396 0.2604  2 C 2.24
5 Ti 0.5000 0.2604 0.7396  2 C 2.24
6 Ti 0.7052 0.4169 0.4169  1 Ti 2.31, 2 C 2.45
7 Ti 0.0612 0.3420 0.0764  2 C 2.21-2.37
8 Ti 0.0612 0.0764 0.3420  2 C 2.21-2.37
9 Sb 0.5000 0.0000 0.0000  12 Ti 2.81-2.99
10 C 0.0000 0.3077 0.6923  8 Ti 2.21-2.45
11 C 0.0000 0.6923 0.3077  8 Ti 2.21-2.45

Computed properties:
DFT total energy (Ry/atom): -0.595

| no. | M_tot (μB/atom) |
| --- | --- |
| 1 | 0.000 |
| 2 | 0.941 |
| 3 | 0.000 |
| 4 | 0.000 |
| 5 | 0.222 |
| 6 | 0.000 |
| 7 | 0.000 |
| 8 | 0.000 |
| 9 | 0.063 |
| 10 | 0.000 |
| 11 | 0.000 |
| 12 | 0.000 |